No. 1
Crystalline Mg2ZnSe4 at its relaxed geometry, computed with PBE.

Lattice parameters (Å, degrees): 6.512 6.512 6.512 110.42 110.42 107.58
Positions (direct):
1 Mg 0.250 0.750 0.500
2 Mg 0.750 0.250 0.500
3 Zn 0.000 0.000 0.000
4 Se 0.236 0.500 0.736
5 Se 0.500 0.236 0.736
6 Se 0.500 0.764 0.264
7 Se 0.764 0.500 0.264



No. 2
Crystalline Mg2ZnSe at its relaxed geometry, computed with PBE.

Lattice parameters (Å, degrees): 6.487 6.487 7.823 90.00 90.00 148.08
Positions (direct):
1 Mg 0.150 0.850 0.544
2 Mg 0.150 0.850 0.956
3 Mg 0.850 0.150 0.044
4 Mg 0.850 0.150 0.456
5 Zn 0.341 0.659 0.750
6 Zn 0.659 0.341 0.250
7 Se 0.449 0.551 0.250
8 Se 0.551 0.449 0.750



No. 3
Crystalline Mg2ZnSe4 at its relaxed geometry, computed with PBE.

Lattice parameters (Å, degrees): 6.064 6.064 6.064 112.37 112.37 103.81
Positions (direct):
1 Mg 0.250 0.750 0.500
2 Mg 0.750 0.250 0.500
3 Zn 0.000 0.000 0.000
4 Se 0.202 0.689 0.891
5 Se 0.311 0.202 0.513
6 Se 0.689 0.798 0.487
7 Se 0.798 0.311 0.109



Number 1: formation energy (no corrections) -0.217 eV/atom. Number 2: formation energy (no corrections) -0.373 eV/atom. Number 3: formation energy (no corrections) -0.600 eV/atom.